A relaxed structure of OsCl2, computed with PBE.

Lattice parameters (Å, degrees): 8.078 7.700 3.214 84.95 71.71 23.34
Sites, in units of the cell vectors:
Os (0.500, 0.500, 0.500)
Cl (0.123, 0.123, 0.877)
Cl (0.877, 0.877, 0.123)

Total magnetization   0.0 μB/cell
DOS(E_F)   0.501 states/eV per atom
Offset from the most stable computed form   255.0 meV per atom

A relaxed structure of Os4Cl, computed with PBE.

Lattice parameters (Å, degrees): 5.985 5.985 5.985 138.69 138.69 59.84
Sites, in units of the cell vectors:
Os (0.250, 0.750, 0.500)
Cl (0.000, 0.000, 0.000)
Os (0.750, 0.250, 0.500)
Os (0.621, 0.621, 0.000)
Os (0.379, 0.379, 0.000)

Total magnetization   0.0 μB/cell
DOS(E_F)   1.119 states/eV per atom
Offset from the most stable computed form   0.0 meV per atom

A relaxed structure of OsCl2, computed with PBE.

Lattice parameters (Å, degrees): 3.646 11.144 5.730 90.00 90.00 90.00
Sites, in units of the cell vectors:
Cl (0.750, 0.012, 0.223)
Os (0.250, 0.136, 0.085)
Cl (0.250, 0.744, 0.055)
Os (0.750, 0.364, 0.585)
Cl (0.250, 0.988, 0.777)
Cl (0.250, 0.488, 0.723)
Cl (0.750, 0.756, 0.555)
Cl (0.750, 0.256, 0.945)
Os (0.750, 0.864, 0.915)
Os (0.250, 0.636, 0.415)
Cl (0.250, 0.244, 0.445)
Cl (0.750, 0.512, 0.277)

Total magnetization   0.0 μB/cell
Offset from the most stable computed form   138.0 meV per atom

A relaxed structure of OsCl3, computed with PBE.

Lattice parameters (Å, degrees): 4.119 4.119 4.119 90.00 90.00 90.00
Sites, in units of the cell vectors:
Cl (0.000, 0.500, 0.500)
Cl (0.500, 0.000, 0.500)
Os (0.000, 0.000, 0.000)
Cl (0.500, 0.500, 0.000)

Total magnetization   0.0 μB/cell
DOS(E_F)   0.918 states/eV per atom

Uncorrected energy for every record listed, in sequence, given in eV for the cell shown: -14.01, -41.07, -57.43, -10.99.